# Mg2AlTl, single point on PBEsol structure, DFT SCAN
# E_form = 0.0042 eV per atom
# Crystal system = monoclinic
# Total moment = 0.002 μB per formula unit
# ρ = 5.38 Mg/m³
# E = -22.5102 eV per atom
# Space group = Cm
data_Mg2AlTl
_chemical_formula_sum 'Mg2 Al1 Tl1'
_symmetry_space_group_name_H-M 'P 1'
_symmetry_Int_Tables_number 1
_cell_length_a 5.402
_cell_length_b 5.402
_cell_length_c 5.205
_cell_angle_alpha 99.87
_cell_angle_beta 99.87
_cell_angle_gamma 35.29
loop_
_symmetry_equiv_pos_as_xyz
'x,y,z'
loop_
_atom_site_label
_atom_site_type_symbol
_atom_site_fract_x
_atom_site_fract_y
_atom_site_fract_z
Mg1 Mg 0.000 0.000 0.000
Mg2 Mg 0.245 0.245 0.720
Al1 Al 0.501 0.501 0.514
Tl1 Tl 0.753 0.753 0.229